# 1
# PBE FeC, optimized geometry
# uncorrected energy: -8.34 eV per atom
# Fermi-level density of states: 1.12 states/eV/atom
# calculated formation energy: 0.505 eV/atom
data_FeC
_chemical_formula_sum 'Fe6 C6'
_symmetry_space_group_name_H-M 'R -3 m'
_symmetry_Int_Tables_number 166
_symmetry_space_group_name_Hall '-R 3 2"'
_cell_length_a 2.4447
_cell_length_b 2.4447
_cell_length_c 27.9354
_cell_angle_alpha 90.00
_cell_angle_beta 90.00
_cell_angle_gamma 120.00
loop_
_atom_site_label
_atom_site_type_symbol
_atom_site_fract_x
_atom_site_fract_y
_atom_site_fract_z
Fe1 Fe 0.0000 0.0000 0.1333
C1 C 0.0000 0.0000 0.3333

# 2
# PBE FeC2, optimized geometry
# energy relative to the lowest polymorph listed for this composition: 0.990 eV per atom
# uncorrected energy: -7.46 eV per atom
# Fermi-level density of states: 0.12 states/eV/atom
# calculated formation energy: 1.509 eV/atom
data_FeC2
_chemical_formula_sum 'Fe3 C6'
_symmetry_space_group_name_H-M 'P -3 1 m'
_symmetry_Int_Tables_number 162
_symmetry_space_group_name_Hall '-P 3 2'
_cell_length_a 4.3402
_cell_length_b 4.3402
_cell_length_c 4.9943
_cell_angle_alpha 90.00
_cell_angle_beta 90.00
_cell_angle_gamma 120.00
loop_
_atom_site_label
_atom_site_type_symbol
_atom_site_fract_x
_atom_site_fract_y
_atom_site_fract_z
Fe1 Fe 0.0000 0.0000 0.0000
Fe2 Fe 0.3333 0.6667 0.5000
C1 C 0.0000 0.3179 0.2551

# 3
# PBE Fe2C, optimized geometry
# uncorrected energy: -8.51 eV per atom
# Fermi-level density of states: 0.67 states/eV/atom
# calculated formation energy: 0.206 eV/atom
data_Fe2C
_chemical_formula_sum 'Fe8 C4'
_symmetry_space_group_name_H-M 'C m c 21'
_symmetry_Int_Tables_number 36
_cell_length_a 2.5624
_cell_length_b 8.7864
_cell_length_c 4.7144
_cell_angle_alpha 90.00
_cell_angle_beta 90.00
_cell_angle_gamma 90.00
loop_
_symmetry_equiv_pos_as_xyz
'x,y,z'
'-x,-y,z+1/2'
'-x,y,z'
'x,-y,z+1/2'
'x+1/2,y+1/2,z'
'-x+1/2,-y+1/2,z+1/2'
'-x+1/2,y+1/2,z'
'x+1/2,-y+1/2,z+1/2'
loop_
_atom_site_label
_atom_site_type_symbol
_atom_site_fract_x
_atom_site_fract_y
_atom_site_fract_z
Fe1 Fe 0.0000 0.0219 0.0000
Fe2 Fe 0.0000 0.2814 0.8173
C1 C 0.0000 0.3878 0.2158

# 4
# PBE FeC3, optimized geometry
# energy relative to the lowest polymorph listed for this composition: 0.395 eV per atom
# uncorrected energy: -8.07 eV per atom
# Fermi-level density of states: 0.42 states/eV/atom
# calculated formation energy: 0.966 eV/atom
data_FeC3
_chemical_formula_sum 'Fe2 C6'
_symmetry_space_group_name_H-M 'C 1 2/m 1'
_symmetry_Int_Tables_number 12
_cell_length_a 7.3395
_cell_length_b 2.5738
_cell_length_c 3.6916
_cell_angle_alpha 90.00
_cell_angle_beta 118.84
_cell_angle_gamma 90.00
loop_
_symmetry_equiv_pos_as_xyz
'x,y,z'
'-x,-y,-z'
'-x,y,-z'
'x,-y,z'
'x+1/2,y+1/2,z'
'-x+1/2,-y+1/2,-z'
'-x+1/2,y+1/2,-z'
'x+1/2,-y+1/2,z'
loop_
_atom_site_label
_atom_site_type_symbol
_atom_site_fract_x
_atom_site_fract_y
_atom_site_fract_z
Fe1 Fe 0.0000 0.0000 0.0000
C1 C 0.0000 0.5000 0.5000
C2 C 0.1946 0.5000 0.5013

# 5
# PBE FeC2, optimized geometry
# energy relative to the lowest polymorph listed for this composition: 0.205 eV per atom
# uncorrected energy: -8.25 eV per atom
# Fermi-level density of states: 0.57 states/eV/atom
# calculated formation energy: 0.723 eV/atom
data_FeC2
_chemical_formula_sum 'Fe1 C2'
_symmetry_space_group_name_H-M 'P 1 m 1'
_symmetry_Int_Tables_number 6
_cell_length_a 2.8246
_cell_length_b 2.5252
_cell_length_c 3.7530
_cell_angle_alpha 90.00
_cell_angle_beta 111.77
_cell_angle_gamma 90.00
loop_
_symmetry_equiv_pos_as_xyz
'x,y,z'
'x,-y,z'
loop_
_atom_site_label
_atom_site_type_symbol
_atom_site_fract_x
_atom_site_fract_y
_atom_site_fract_z
Fe1 Fe 0.0000 0.0000 0.0000
C1 C 0.6095 0.5000 0.2237
C2 C 0.7178 0.0000 0.4405

# 6
# PBE FeC2, optimized geometry
# energy relative to the lowest polymorph listed for this composition: 0.184 eV per atom
# uncorrected energy: -8.27 eV per atom
# Fermi-level density of states: 0.50 states/eV/atom
# calculated formation energy: 0.702 eV/atom
data_FeC2
_chemical_formula_sum 'Fe4 C8'
_symmetry_space_group_name_H-M 'P n m a'
_symmetry_Int_Tables_number 62
_cell_length_a 7.0001
_cell_length_b 2.5086
_cell_length_c 6.5326
_cell_angle_alpha 90.00
_cell_angle_beta 90.00
_cell_angle_gamma 90.00
loop_
_symmetry_equiv_pos_as_xyz
'x,y,z'
'-x,-y,-z'
'-x+1/2,-y,z+1/2'
'x+1/2,y,-z+1/2'
'x+1/2,-y+1/2,-z+1/2'
'-x+1/2,y+1/2,z+1/2'
'-x,y+1/2,-z'
'x,-y+1/2,z'
loop_
_atom_site_label
_atom_site_type_symbol
_atom_site_fract_x
_atom_site_fract_y
_atom_site_fract_z
Fe1 Fe 0.1528 0.2500 0.0538
C1 C 0.0918 0.7500 0.7862
C2 C 0.1740 0.2500 0.7272

> Which formula does entry 1 have?

FeC